No. 1
Below is a relaxed Hf2TiPbO crystal, with properties calculated at the PBE-GGA level.

Values from the calculation:
Symmetry: P4/mmm, No. 123
Energy (eV per atom): -8.16

The structure in POSCAR format:
```
Hf2TiPbO
1.0
4.6205 0.0000 0.0000
0.0000 4.6205 0.0000
0.0000 0.0000 4.0512
Hf Ti Pb O
2 1 1 1
Direct
0.0000 0.5000 0.0000 Hf
0.5000 0.0000 0.0000 Hf
0.0000 0.0000 0.5000 Ti
0.5000 0.5000 0.5000 Pb
0.0000 0.0000 0.0000 O
```

***

No. 2
Below is a relaxed BaCoS2Cl crystal, with properties calculated at the PBE-GGA level.

Values from the calculation:
Symmetry: P4/mmm, No. 123
Distance to the lowest polymorph of the same formula (meV/atom): 1544

The structure in POSCAR format:
```
BaCoS2Cl
1.0
5.9135 0.0000 0.0000
0.0000 5.9135 0.0000
0.0000 0.0000 5.7961
Ba Co S Cl
1 1 2 1
Direct
0.0000 0.0000 0.0000 Ba
0.5000 0.5000 0.5000 Co
0.0000 0.5000 0.0000 S
0.5000 0.0000 0.0000 S
0.0000 0.0000 0.5000 Cl
```

***

No. 3
Below is a relaxed CdTcSb crystal, with properties calculated at the PBE-GGA level.

Values from the calculation:
Symmetry: P-6m2, No. 187
Distance to the lowest polymorph of the same formula (meV/atom): 221

The structure in POSCAR format:
```
CdTcSb
1.0
4.4846 0.0000 0.0000
-2.2423 3.8838 0.0000
0.0000 0.0000 3.5682
Cd Tc Sb
1 1 1
Direct
0.0000 0.0000 0.0000 Cd
0.3333 0.6667 0.5000 Tc
0.6667 0.3333 0.5000 Sb
```

***

No. 4
Below is a relaxed KZr2Rh crystal, with properties calculated at the PBE-GGA level.

Values from the calculation:
Symmetry: I-4m2, No. 119
Distance to the lowest polymorph of the same formula (meV/atom): 715
DFT formation energy (eV per atom): 0.731

The structure in POSCAR format:
```
KZr2Rh
1.0
4.1275 0.0000 0.0000
0.0000 4.1275 0.0000
0.0000 0.0000 10.2307
K Zr Rh
2 4 2
Direct
0.0000 0.0000 0.0000 K
0.5000 0.5000 0.5000 K
0.0000 0.0000 0.5000 Zr
0.0000 0.5000 0.2500 Zr
0.5000 0.0000 0.7500 Zr
0.5000 0.5000 0.0000 Zr
0.0000 0.5000 0.7500 Rh
0.5000 0.0000 0.2500 Rh
```

***

No. 5
Below is a relaxed CeNd4Dy10 crystal, with properties calculated at the PBE-GGA level.

Values from the calculation:
Symmetry: I4/mmm, No. 139
DFT formation energy (eV per atom): 0.256

The structure in POSCAR format:
```
CeNd4Dy10
1.0
-5.6190 5.6190 4.0022
5.6190 -5.6190 4.0022
5.6190 5.6190 -4.0022
Ce Nd Dy
1 4 10
Direct
0.0000 0.0000 0.0000 Ce
0.2261 0.2261 0.4522 Nd
0.2261 0.7739 0.0000 Nd
0.7739 0.2261 0.0000 Nd
0.7739 0.7739 0.5478 Nd
0.0874 0.2938 0.7936 Dy
0.2500 0.7500 0.5000 Dy
0.2938 0.0874 0.7936 Dy
0.2938 0.5002 0.2064 Dy
0.5002 0.2938 0.2064 Dy
0.4998 0.7062 0.7936 Dy
0.7062 0.4998 0.7936 Dy
0.7062 0.9126 0.2064 Dy
0.7500 0.2500 0.5000 Dy
0.9126 0.7062 0.2064 Dy
```

***

No. 6
Below is a relaxed MgTlHg2Cl8 crystal, with properties calculated at the PBE-GGA level.

Values from the calculation:
Symmetry: P-3, No. 147
Energy (eV per atom): -2.42

The structure in POSCAR format:
```
MgTlHg2Cl8
1.0
6.5588 0.0000 0.0000
-3.2794 5.6801 0.0000
0.0000 0.0000 9.2426
Mg Tl Hg Cl
1 1 2 8
Direct
0.0000 0.0000 0.0000 Mg
0.0000 0.0000 0.5000 Tl
0.3333 0.6667 0.2225 Hg
0.6667 0.3333 0.7775 Hg
0.0366 0.7153 0.8355 Cl
0.2847 0.3213 0.8355 Cl
0.3213 0.0366 0.1645 Cl
0.3333 0.6667 0.4990 Cl
0.6667 0.3333 0.5010 Cl
0.6787 0.9634 0.8355 Cl
0.7153 0.6787 0.1645 Cl
0.9634 0.2847 0.1645 Cl
```

***

No. 7
Below is a relaxed NbCrN3 crystal, with properties calculated at the PBE-GGA level.

Values from the calculation:
Symmetry: Pm-3m, No. 221
Energy (eV per atom): -8.59

The structure in POSCAR format:
```
NbCrN3
1.0
3.6619 0.0000 0.0000
0.0000 3.6619 0.0000
0.0000 0.0000 3.6619
Nb Cr N
1 1 3
Direct
0.0000 0.0000 0.0000 Nb
0.5000 0.5000 0.5000 Cr
0.0000 0.5000 0.5000 N
0.5000 0.0000 0.5000 N
0.5000 0.5000 0.0000 N
```

***

No. 8
Below is a relaxed Pr2Cd crystal, with properties calculated at the PBE-GGA level.

Values from the calculation:
Symmetry: C2/m, No. 12
Distance to the lowest polymorph of the same formula (meV/atom): 22
DFT formation energy (eV per atom): -0.185

The structure in POSCAR format:
```
Pr2Cd
1.0
12.7999 0.0000 0.0000
0.0000 3.7060 0.0000
-4.9306 0.0000 8.0279
Pr Cd
8 4
Direct
0.0914 0.0000 0.3363 Pr
0.1510 0.5000 0.0457 Pr
0.3490 0.0000 0.9543 Pr
0.4086 0.5000 0.6637 Pr
0.5914 0.5000 0.3363 Pr
0.6510 0.0000 0.0457 Pr
0.8490 0.5000 0.9543 Pr
0.9086 0.0000 0.6637 Pr
0.1289 0.5000 0.6578 Cd
0.3711 0.0000 0.3422 Cd
0.6289 0.0000 0.6578 Cd
0.8711 0.5000 0.3422 Cd
```

***

No. 9
Below is a relaxed V2AgGe2 crystal, with properties calculated at the PBE-GGA level.

Values from the calculation:
Symmetry: P4/mbm, No. 127
Distance to the lowest polymorph of the same formula (meV/atom): 29
DFT formation energy (eV per atom): 0.050

The structure in POSCAR format:
```
V2AgGe2
1.0
6.8533 0.0000 0.0000
0.0000 6.8533 0.0000
0.0000 0.0000 3.2862
V Ag Ge
4 2 4
Direct
0.1515 0.3485 0.0000 V
0.3485 0.8485 0.0000 V
0.6515 0.1515 0.0000 V
0.8485 0.6515 0.0000 V
0.0000 0.0000 0.5000 Ag
0.5000 0.5000 0.5000 Ag
0.1403 0.6403 0.5000 Ge
0.3597 0.1403 0.5000 Ge
0.6403 0.8597 0.5000 Ge
0.8597 0.3597 0.5000 Ge
```

***

No. 10
Below is a relaxed AcGd2Rh crystal, with properties calculated at the PBE-GGA level.

Values from the calculation:
Symmetry: P4/mmm, No. 123
Distance to the lowest polymorph of the same formula (meV/atom): 0
DFT formation energy (eV per atom): -0.356

The structure in POSCAR format:
```
AcGd2Rh
1.0
3.6053 0.0000 0.0000
0.0000 3.6053 0.0000
0.0000 0.0000 9.0690
Ac Gd Rh
1 2 1
Direct
0.0000 0.0000 0.0000 Ac
0.5000 0.5000 0.3223 Gd
0.5000 0.5000 0.6777 Gd
0.0000 0.0000 0.5000 Rh
```

***

No. 11
Below is a relaxed ZrNiGe2 crystal, with properties calculated at the PBE-GGA level.

Values from the calculation:
Symmetry: R-3m, No. 166
DFT formation energy (eV per atom): -0.479

The structure in POSCAR format:
```
ZrNiGe2
1.0
3.9502 0.0000 0.0000
-1.9751 3.4210 0.0000
0.0000 0.0000 14.5260
Zr Ni Ge
3 3 6
Direct
0.0000 0.0000 0.0000 Zr
0.3333 0.6667 0.6667 Zr
0.6667 0.3333 0.3333 Zr
0.0000 0.0000 0.5000 Ni
0.3333 0.6667 0.1667 Ni
0.6667 0.3333 0.8333 Ni
0.0000 0.0000 0.2255 Ge
0.0000 0.0000 0.7745 Ge
0.3333 0.6667 0.4411 Ge
0.3333 0.6667 0.8922 Ge
0.6667 0.3333 0.1078 Ge
0.6667 0.3333 0.5589 Ge
```

***

No. 12
Below is a relaxed AsRh3O crystal, with properties calculated at the PBE-GGA level.

Values from the calculation:
Symmetry: Pm-3m, No. 221
Distance to the lowest polymorph of the same formula (meV/atom): 860

The structure in POSCAR format:
```
AsRh3O
1.0
4.5711 0.0000 0.0000
0.0000 4.5711 0.0000
0.0000 0.0000 4.5711
As Rh O
1 3 1
Direct
0.0000 0.0000 0.0000 As
0.0000 0.0000 0.5000 Rh
0.0000 0.5000 0.0000 Rh
0.5000 0.0000 0.0000 Rh
0.5000 0.5000 0.5000 O
```

***

No. 13
Below is a relaxed Ca2InGaW crystal, with properties calculated at the PBE-GGA level.

Values from the calculation:
Symmetry: P4/mmm, No. 123
DFT formation energy (eV per atom): 1.060

The structure in POSCAR format:
```
Ca2InGaW
1.0
5.8159 0.0000 0.0000
0.0000 5.8159 0.0000
0.0000 0.0000 5.1617
Ca In Ga W
2 1 1 1
Direct
0.0000 0.5000 0.0000 Ca
0.5000 0.0000 0.0000 Ca
0.0000 0.0000 0.0000 In
0.5000 0.5000 0.5000 Ga
0.0000 0.0000 0.5000 W
```

***

No. 14
Below is a relaxed BaP2Ru crystal, with properties calculated at the PBE-GGA level.

Values from the calculation:
Symmetry: I-4m2, No. 119
Distance to the lowest polymorph of the same formula (meV/atom): 1293
DFT formation energy (eV per atom): 0.644

The structure in POSCAR format:
```
BaP2Ru
1.0
4.4204 0.0000 0.0000
0.0000 4.4204 0.0000
0.0000 0.0000 8.3661
Ba P Ru
2 4 2
Direct
0.0000 0.0000 0.0000 Ba
0.5000 0.5000 0.5000 Ba
0.0000 0.0000 0.5000 P
0.0000 0.5000 0.7500 P
0.5000 0.0000 0.2500 P
0.5000 0.5000 0.0000 P
0.0000 0.5000 0.2500 Ru
0.5000 0.0000 0.7500 Ru
```

***

No. 15
Below is a relaxed SiOs2C crystal, with properties calculated at the PBE-GGA level.

Values from the calculation:
Symmetry: I-42d, No. 122
Distance to the lowest polymorph of the same formula (meV/atom): 0

The structure in POSCAR format:
```
SiOs2C
1.0
5.1004 0.0000 0.0000
0.0000 5.1004 0.0000
0.0000 0.0000 9.3944
Si Os C
4 8 4
Direct
0.0000 0.0000 0.0000 Si
0.0000 0.5000 0.2500 Si
0.5000 0.0000 0.7500 Si
0.5000 0.5000 0.5000 Si
0.1871 0.2500 0.6250 Os
0.2500 0.6871 0.8750 Os
0.2500 0.8129 0.3750 Os
0.3129 0.2500 0.1250 Os
0.6871 0.7500 0.1250 Os
0.7500 0.1871 0.3750 Os
0.7500 0.3129 0.8750 Os
0.8129 0.7500 0.6250 Os
0.0000 0.0000 0.5000 C
0.0000 0.5000 0.7500 C
0.5000 0.0000 0.2500 C
0.5000 0.5000 0.0000 C
```

***

No. 16
Below is a relaxed Pm3Sn2Rh crystal, with properties calculated at the PBE-GGA level.

Values from the calculation:
Symmetry: Pnma, No. 62
Distance to the lowest polymorph of the same formula (meV/atom): 0
DFT formation energy (eV per atom): -0.793

The structure in POSCAR format:
```
Pm3Sn2Rh
1.0
12.6382 0.0000 0.0000
0.0000 4.4627 0.0000
0.0000 0.0000 11.9061
Pm Sn Rh
12 8 4
Direct
0.0517 0.2500 0.1293 Pm
0.1206 0.7500 0.5474 Pm
0.2375 0.2500 0.7924 Pm
0.2625 0.7500 0.2924 Pm
0.3794 0.2500 0.0474 Pm
0.4483 0.7500 0.6293 Pm
0.5517 0.2500 0.3707 Pm
0.6206 0.7500 0.9526 Pm
0.7375 0.2500 0.7076 Pm
0.7625 0.7500 0.2076 Pm
0.8794 0.2500 0.4526 Pm
0.9483 0.7500 0.8707 Pm
0.0024 0.7500 0.3091 Sn
0.1894 0.7500 0.9999 Sn
0.3106 0.2500 0.4999 Sn
0.4976 0.2500 0.8091 Sn
0.5024 0.7500 0.1909 Sn
0.6894 0.7500 0.5001 Sn
0.8106 0.2500 0.0001 Sn
0.9976 0.2500 0.6909 Sn
0.1282 0.2500 0.3679 Rh
0.3718 0.7500 0.8679 Rh
0.6282 0.2500 0.1321 Rh
0.8718 0.7500 0.6321 Rh
```

***

No. 17
Below is a relaxed Hf3Al2Ga4 crystal, with properties calculated at the PBE-GGA level.

Values from the calculation:
Symmetry: C2/m, No. 12
DFT formation energy (eV per atom): -0.355

The structure in POSCAR format:
```
Hf3Al2Ga4
1.0
6.9894 -2.0895 0.0000
6.9894 2.0895 0.0000
-2.1920 0.0000 5.6001
Hf Al Ga
3 2 4
Direct
0.0000 0.0000 0.0000 Hf
0.1205 0.1205 0.6422 Hf
0.8795 0.8795 0.3578 Hf
0.3415 0.3415 0.9794 Al
0.6585 0.6585 0.0206 Al
0.2262 0.2262 0.2985 Ga
0.4698 0.4698 0.6836 Ga
0.5302 0.5302 0.3164 Ga
0.7738 0.7738 0.7015 Ga
```

***

No. 18
Below is a relaxed TmNiB4 crystal, with properties calculated at the PBE-GGA level.

Values from the calculation:
Symmetry: Cmmm, No. 65
Distance to the lowest polymorph of the same formula (meV/atom): 3
DFT formation energy (eV per atom): -0.563

The structure in POSCAR format:
```
TmNiB4
1.0
3.6181 -4.6237 0.0000
3.6181 4.6237 0.0000
0.0000 0.0000 3.3799
Tm Ni B
2 2 8
Direct
0.1994 0.8006 0.0000 Tm
0.8006 0.1994 0.0000 Tm
0.3228 0.3228 0.0000 Ni
0.6772 0.6772 0.0000 Ni
0.1201 0.4319 0.5000 B
0.1257 0.1257 0.5000 B
0.4077 0.5923 0.5000 B
0.4319 0.1201 0.5000 B
0.5681 0.8799 0.5000 B
0.5923 0.4077 0.5000 B
0.8743 0.8743 0.5000 B
0.8799 0.5681 0.5000 B
```

***

No. 19
Below is a relaxed Dy2ScTi crystal, with properties calculated at the PBE-GGA level.

Values from the calculation:
Symmetry: Fm-3m, No. 225
Distance to the lowest polymorph of the same formula (meV/atom): 50
DFT formation energy (eV per atom): 0.216

The structure in POSCAR format:
```
Dy2ScTi
1.0
7.4599 0.0000 0.0000
0.0000 7.4599 0.0000
0.0000 0.0000 7.4599
Dy Sc Ti
8 4 4
Direct
0.2500 0.2500 0.2500 Dy
0.2500 0.2500 0.7500 Dy
0.2500 0.7500 0.2500 Dy
0.2500 0.7500 0.7500 Dy
0.7500 0.2500 0.2500 Dy
0.7500 0.2500 0.7500 Dy
0.7500 0.7500 0.2500 Dy
0.7500 0.7500 0.7500 Dy
0.0000 0.0000 0.0000 Sc
0.0000 0.5000 0.5000 Sc
0.5000 0.0000 0.5000 Sc
0.5000 0.5000 0.0000 Sc
0.0000 0.0000 0.5000 Ti
0.0000 0.5000 0.0000 Ti
0.5000 0.0000 0.0000 Ti
0.5000 0.5000 0.5000 Ti
```

***

No. 20
Below is a relaxed SrHg2As crystal, with properties calculated at the PBE-GGA level.

Values from the calculation:
Symmetry: R3m, No. 160
DFT formation energy (eV per atom): -0.420

The structure in POSCAR format:
```
SrHg2As
1.0
4.5661 0.0000 0.0000
-2.2830 3.9544 0.0000
0.0000 0.0000 18.8892
Sr Hg As
3 6 3
Direct
0.0000 0.0000 0.0000 Sr
0.3333 0.6667 0.6667 Sr
0.6667 0.3333 0.3333 Sr
0.0000 0.0000 0.5202 Hg
0.0000 0.0000 0.7714 Hg
0.3333 0.6667 0.1869 Hg
0.3333 0.6667 0.4380 Hg
0.6667 0.3333 0.1047 Hg
0.6667 0.3333 0.8536 Hg
0.0000 0.0000 0.2433 As
0.3333 0.6667 0.9099 As
0.6667 0.3333 0.5766 As
```